# 1
{"formula": "Hg3IrS", "functional": "GGA-PBEsol", "state": "optimized geometry", "formation_energy_uncorrected_mev_per_atom": 815, "vol_a3_per_atom": 26.88, "lattice_angstrom": [[5.1221, 0.0000, 0.0000], [0.0000, 5.1221, 0.0000], [0.0000, 0.0000, 5.1221]], "species": ["Hg", "S", "Hg", "Ir", "Hg"], "frac_coords": [[0.0000, 0.5000, 0.0000], [0.5000, 0.5000, 0.5000], [0.5000, 0.0000, 0.0000], [0.0000, 0.0000, 0.0000], [0.0000, 0.0000, 0.5000]]}

# 2
{"formula": "LiTa2Al", "functional": "GGA-PBEsol", "state": "optimized geometry", "total_energy_ev_per_cell": -30.43, "vol_a3_per_atom": 15.96, "lattice_angstrom": [[3.8832, 0.0000, 0.0000], [0.0000, 3.8832, 0.0000], [-1.9416, -1.9416, 4.2335]], "species": ["Ta", "Al", "Li", "Ta"], "frac_coords": [[0.7500, 0.2500, 0.5000], [0.5000, 0.5000, 0.0000], [0.2500, 0.7500, 0.5000], [0.0000, 0.0000, 0.0000]]}

# 3
{"formula": "Na2Si2Ge", "functional": "GGA-PBEsol", "state": "optimized geometry", "formation_energy_uncorrected_mev_per_atom": 88, "vol_a3_per_atom": 20.60, "lattice_angstrom": [[4.8679, 0.0000, 0.0000], [0.0000, 6.5054, 0.0000], [0.0000, 0.0000, 6.5054]], "species": ["Si", "Si", "Na", "Na", "Ge", "Na", "Si", "Na", "Ge", "Si"], "frac_coords": [[0.0000, 0.3730, 0.8730], [0.0000, 0.6270, 0.1270], [0.5000, 0.3226, 0.1774], [0.5000, 0.1774, 0.6774], [0.0000, 0.5000, 0.5000], [0.5000, 0.6774, 0.8226], [0.0000, 0.1270, 0.3730], [0.5000, 0.8226, 0.3226], [0.0000, 0.0000, 0.0000], [0.0000, 0.8730, 0.6270]]}

# 4
{"formula": "Ba2Tl7Au", "functional": "GGA-PBEsol", "state": "optimized geometry", "total_energy_ev_per_cell": -119.44, "vol_a3_per_atom": 29.33, "lattice_angstrom": [[-4.2656, -2.8892, 0.2251], [5.8314, -8.6465, -0.4722], [1.3400, -0.2839, 21.7448]], "species": ["Tl", "Tl", "Tl", "Tl", "Ba", "Au", "Tl", "Tl", "Tl", "Ba", "Tl", "Tl", "Tl", "Tl", "Ba", "Tl", "Tl", "Ba", "Tl", "Tl", "Tl", "Ba", "Tl", "Tl", "Tl", "Ba", "Au", "Tl", "Tl", "Tl", "Tl", "Au", "Tl", "Tl", "Au", "Ba", "Ba", "Tl", "Tl", "Tl"], "frac_coords": [[0.7500, 0.3439, 0.2039], [0.2500, 0.8439, 0.2961], [0.7500, 0.1561, 0.7039], [0.7500, 0.2636, 0.3524], [0.2500, 0.4990, 0.2891], [0.7500, 0.7604, 0.8260], [0.7500, 0.5984, 0.0502], [0.2500, 0.0364, 0.0899], [0.7500, 0.9725, 0.3966], [0.7500, 0.2501, 0.0416], [0.7500, 0.5275, 0.8966], [0.2500, 0.6561, 0.7961], [0.2500, 0.7636, 0.1476], [0.7500, 0.9016, 0.5502], [0.2500, 0.7501, 0.4584], [0.7500, 0.6047, 0.5524], [0.7500, 0.8586, 0.7002], [0.7500, 0.5010, 0.7109], [0.7500, 0.8953, 0.0524], [0.2500, 0.4636, 0.5899], [0.2500, 0.0984, 0.4498], [0.7500, 0.2499, 0.5416], [0.2500, 0.4725, 0.1034], [0.2500, 0.3586, 0.7998], [0.2500, 0.0275, 0.6034], [0.2500, 0.0010, 0.7891], [0.2500, 0.2604, 0.6740], [0.7500, 0.5364, 0.4101], [0.2500, 0.1414, 0.2998], [0.7500, 0.9636, 0.9101], [0.7500, 0.2364, 0.8524], [0.7500, 0.7396, 0.3260], [0.2500, 0.1047, 0.9476], [0.7500, 0.6414, 0.2002], [0.2500, 0.2396, 0.1740], [0.7500, 0.9990, 0.2109], [0.2500, 0.7499, 0.9584], [0.2500, 0.3953, 0.4476], [0.2500, 0.7364, 0.6476], [0.2500, 0.4016, 0.9498]]}